The following is a PBE calculation of a relaxed NaPrAu4 crystal, from Alexandria via LeMat-Bulk.

Properties
- Energy above the lowest structure with this stoichiometry: 0.00 kcal/mol of atoms
- Energy relative to the elements: -0.507 eV per atom

a b c (Å): 4.7932 4.7932 6.7281
angles (deg): 90.00 90.00 120.00
Space group P6/mmm (No. 191)
Symmetry-distinct sites (fractional):
Na (0.0000, 0.0000, 0.0000)
Pr (0.0000, 0.0000, 0.5000)
Au (0.3333, 0.6667, 0.2368)